Here is an optimized crystal structure of DyTm2Pb from Alexandria via LeMat-Bulk. Energies are from PBE.

Geometry as POSCAR:
```
DyTm2Pb
1.0
-0.7251 -2.4632 -2.3803
2.5633 -2.0244 -1.2610
-1.3048 -9.3521 7.5002
Dy Pb Tm
1 1 2
Cartesian
0.2667 -6.9198 1.9294
0.0000 0.0000 0.0000
-0.7975 -7.2737 5.1950
1.3309 -6.5659 -1.3361
```

Results
density of states at the Fermi level = 4.3 states/eV/cell
calculated formation energy = 1.28 kcal/mol of atoms
DFT total energy = -4.258 eV/atom